# NpCoPN

A relaxed structure of NpCoPN (PBE, Alexandria via LeMat-Bulk).

Cell lengths 3.7630, 3.7630, 7.8598 Å; angles 90.00, 90.00, 90.00 degrees
Fractional positions:
N1 0.5000 0.5000 0.5000
N2 0.0000 0.0000 0.5000
P1 0.0000 0.5000 0.8498
P2 0.5000 0.0000 0.1502
Co1 0.0000 0.0000 0.0000
Co2 0.5000 0.5000 0.0000
Np1 0.0000 0.5000 0.3502
Np2 0.5000 0.0000 0.6498

As for the uncorrected formation energy: -0.9886 eV per atom. The calculation puts the total energy at -75.47 eV/cell.